Entry 1:
VASP calculation (SCAN) on a crystal of Ti3MnSb2P6O24 relaxed with PBEsol.

a = 8.605 Å, b = 8.605 Å, c = 8.893 Å
α = 61.07°, β = 61.07°, γ = 60.00°
Positions (direct):
P 0.255 0.539 0.248
O 0.081 0.730 0.238
O 0.586 0.407 0.767
Mn 0.844 0.844 0.468
P 0.539 0.958 0.248
Sb 0.498 0.498 0.507
O 0.040 0.771 0.571
P 0.749 0.457 0.746
O 0.771 0.618 0.571
O 0.730 0.951 0.238
O 0.492 0.114 0.079
O 0.951 0.081 0.238
O 0.701 0.501 0.915
P 0.457 0.049 0.746
O 0.927 0.275 0.744
O 0.275 0.055 0.744
O 0.766 0.419 0.244
Sb 0.987 0.987 0.039
O 0.501 0.882 0.915
O 0.055 0.927 0.744
P 0.049 0.749 0.746
O 0.114 0.315 0.079
O 0.571 0.766 0.244
O 0.407 0.240 0.767
O 0.383 0.993 0.423
O 0.240 0.586 0.767
P 0.958 0.255 0.248
Ti 0.145 0.145 0.565
O 0.315 0.492 0.079
O 0.201 0.383 0.423
O 0.419 0.571 0.244
O 0.993 0.201 0.423
Ti 0.352 0.352 0.945
O 0.882 0.701 0.915
O 0.618 0.040 0.571
Ti 0.650 0.650 0.051

Results
For the formation energy from raw total energies, the calculation gives -2.4642 eV per atom. The space-group type is R3 (146).



Entry 2:
VASP calculation (SCAN) on a crystal of KCd2Cu2 relaxed with PBEsol.

a = 4.518 Å, b = 4.518 Å, c = 6.196 Å
α = 111.38°, β = 111.38°, γ = 90.00°
Positions (direct):
Cd 0.250 0.750 0.500
Cu 0.387 0.387 0.775
Cu 0.613 0.613 0.225
K 0.000 0.000 0.000
Cd 0.750 0.250 0.500

Results
The space-group type is I4/mmm (139).



Entry 3:
VASP calculation (SCAN) on a crystal of Sc2TaRe relaxed with PBEsol.

a = 2.850 Å, b = 2.850 Å, c = 9.418 Å
α = 90.00°, β = 90.00°, γ = 110.66°
Positions (direct):
Sc 0.000 0.000 0.229
Ta 0.500 0.500 0.500
Sc 0.000 0.000 0.771
Re 0.500 0.500 0.000

Results
The space-group type is Cmmm (65). As for the energy relative to the lowest polymorph listed for this composition: 296 meV per atom.



Entry 4:
VASP calculation (SCAN) on a crystal of CrAs2 relaxed with PBEsol.

a = 2.965 Å, b = 4.608 Å, c = 7.524 Å
α = 87.85°, β = 90.00°, γ = 108.77°
Positions (direct):
As 0.882 0.764 0.406
Cr 0.582 0.164 0.854
As 0.118 0.236 0.594
Cr 0.418 0.836 0.146
As 0.861 0.723 0.885
As 0.139 0.277 0.115

Results
The space-group type is C2/m (12).



Entry 5:
VASP calculation (SCAN) on a crystal of YCd2Ag2 relaxed with PBEsol.

a = 4.047 Å, b = 4.047 Å, c = 7.151 Å
α = 106.44°, β = 106.44°, γ = 90.00°
Positions (direct):
Cd 0.250 0.750 0.500
Ag 0.600 0.600 0.200
Y 0.000 0.000 0.000
Cd 0.750 0.250 0.500
Ag 0.400 0.400 0.800

Results
The space-group type is I4/mmm (139).



Entry 6:
VASP calculation (SCAN) on a crystal of Pr2S3O12 relaxed with PBEsol.

a = 6.681 Å, b = 6.974 Å, c = 11.305 Å
α = 105.90°, β = 107.19°, γ = 90.00°
Positions (direct):
O 0.089 0.854 0.112
S 0.867 0.682 0.367
O 0.015 0.500 0.649
S 0.133 0.318 0.633
O 0.036 0.189 0.693
Pr 0.725 0.365 0.736
O 0.964 0.811 0.307
O 0.911 0.146 0.888
O 0.738 0.108 0.047
O 0.348 0.868 0.704
Pr 0.275 0.635 0.264
O 0.657 0.689 0.693
O 0.634 0.000 0.649
O 0.603 0.286 0.503
S 0.165 0.750 0.000
O 0.985 0.500 0.351
O 0.644 0.632 0.296
O 0.652 0.132 0.296
O 0.262 0.892 0.953
S 0.835 0.250 0.000
O 0.343 0.311 0.307
O 0.900 0.786 0.503
O 0.366 0.000 0.351
Pr 0.011 0.865 0.736
O 0.023 0.354 0.112
O 0.356 0.368 0.704
O 0.977 0.646 0.888
O 0.100 0.214 0.497
O 0.308 0.608 0.047
O 0.692 0.392 0.953
S 0.500 0.818 0.633
O 0.397 0.714 0.497
S 0.500 0.182 0.367
Pr 0.989 0.135 0.264

Results
For the formation energy from raw total energies, the calculation gives -2.4110 eV per atom. The space-group type is C2/c (15).



Entry 7:
VASP calculation (SCAN) on a crystal of TmGaO3 relaxed with PBEsol.

a = 5.955 Å, b = 5.955 Å, c = 11.549 Å
α = 90.00°, β = 90.00°, γ = 120.00°
Positions (direct):
O 0.000 0.000 0.023
O 0.000 0.305 0.835
O 0.361 0.000 0.162
Ga 0.334 0.000 0.999
O 0.361 0.361 0.662
O 0.639 0.000 0.662
Tm 0.333 0.667 0.767
Tm 0.667 0.333 0.767
Ga 0.666 0.666 0.999
O 0.667 0.333 0.978
O 0.333 0.667 0.978
O 0.305 0.000 0.835
Ga 0.334 0.334 0.499
O 0.639 0.639 0.162
Tm 0.333 0.667 0.267
Tm 0.000 0.000 0.724
O 0.333 0.667 0.478
Tm 0.000 0.000 0.224
O 0.305 0.305 0.335
O 0.000 0.361 0.162
Ga 0.000 0.334 0.999
O 0.695 0.000 0.335
O 0.000 0.639 0.662
Ga 0.666 0.000 0.499
Tm 0.667 0.333 0.267
O 0.000 0.000 0.523
O 0.695 0.695 0.835
O 0.667 0.333 0.478
Ga 0.000 0.666 0.499
O 0.000 0.695 0.335

Results
For the formation energy from raw total energies, the calculation gives -3.0710 eV per atom. The space-group type is P6_3cm (185).



Entry 8:
VASP calculation (SCAN) on a crystal of MnAl relaxed with PBEsol.

a = 2.873 Å, b = 2.873 Å, c = 5.836 Å
α = 90.00°, β = 90.00°, γ = 90.00°
Positions (direct):
Al 0.500 0.000 0.847
Mn 0.500 0.000 0.384
Al 0.000 0.500 0.153
Mn 0.000 0.500 0.616

Results
The space-group type is P4/nmm (129).



no.,energy (eV per atom),Fermi-level density of states (states/eV/cell)
1,-12.264,12.25
2,-19.744,1.83
3,-41.405,4.62
4,-19.622,3.23
5,-30.511,2.33
6,-13.606,0.00
7,-20.445,0.00
8,-13.172,1.78